Record 1
Material: V2Tc3Mo
Method: DFT, PBE
State: optimized geometry

Formation energy   -0.231 eV/atom
Energy   -10.2592 eV per atom
Spin magnetization   0.000 Bohr magnetons per cell
Symmetry   P4/mmm

a b c (Å): 3.054 3.054 9.215
angles (deg): 90.00 90.00 90.00
Fractional positions:
Tc  0.000  0.000  0.000
Tc  0.000  0.000  0.676
Tc  0.000  0.000  0.324
V  0.500  0.500  0.837
V  0.500  0.500  0.163
Mo  0.500  0.500  0.500


Record 2
Material: VTcMo3
Method: DFT, PBE
State: optimized geometry

E above lowest polymorph   727.5 meV/atom
Formation energy   0.663 eV/atom
Energy   -9.7330 eV per atom
Spin magnetization   0.000 Bohr magnetons per cell
Symmetry   C2/m

a b c (Å): 2.571 7.886 8.947
angles (deg): 115.05 90.00 99.38
Fractional positions:
Mo  0.092  0.184  0.518
Mo  0.730  0.461  0.117
Mo  0.908  0.816  0.482
Mo  0.270  0.539  0.883
Mo  0.071  0.141  0.147
Mo  0.929  0.859  0.853
V  0.285  0.570  0.622
V  0.715  0.430  0.378
Tc  0.083  0.166  0.815
Tc  0.917  0.834  0.185


Record 3
Material: V5Tc2Mo2
Method: DFT, PBE
State: optimized geometry

Formation energy   0.349 eV/atom
Energy   -9.4275 eV per atom
Spin magnetization   0.000 Bohr magnetons per cell
Symmetry   Ima2

a b c (Å): 6.319 6.995 7.704
angles (deg): 117.00 114.21 90.00
Fractional positions:
V  0.131  0.258  0.903
V  0.932  0.056  0.500
V  0.227  0.742  0.097
V  0.631  0.146  0.903
V  0.341  0.457  0.299
V  0.042  0.543  0.701
V  0.542  0.659  0.701
V  0.727  0.854  0.097
V  0.841  0.341  0.299
V  0.432  0.944  0.500
Tc  0.492  0.125  0.235
Tc  0.992  0.610  0.235
Tc  0.257  0.875  0.765
Tc  0.757  0.390  0.765
Mo  0.489  0.500  0.000
Mo  0.252  0.244  0.500
Mo  0.989  0.000  0.000
Mo  0.752  0.756  0.500


Question: Look up the spin magnetization of the second one.
Answer: 0.000 Bohr magnetons per cell


Question: Which of these has the highest energy?
Answer: V5Tc2Mo2